1.
AlSb2Mo: optimized geometry, PBE.

## Properties
The total energy is -5.090 eV/atom. Its magnetic moment is 0.189 μB per atom. The space group is F-43m.

a = 4.873 Å, b = 4.873 Å, c = 4.873 Å
α = 60.00°, β = 60.00°, γ = 60.00°
Atoms (fractional coordinates):
Sb  0.000  0.000  0.000
Al  0.750  0.750  0.750
Sb  0.250  0.250  0.250
Mo  0.500  0.500  0.500

---

2.
BeNiPd: optimized geometry, PBE.

## Properties
The total energy is -5.186 eV/atom. Its magnetic moment is 0.002 μB per atom. As for the energy above the most stable polymorph in this dataset: 0.018 eV per atom. The space group is I4mm.

a = 4.972 Å, b = 4.972 Å, c = 4.972 Å
α = 148.57°, β = 148.57°, γ = 45.04°
Atoms (fractional coordinates):
Pd  0.652  0.652  0.000
Be  0.991  0.991  0.000
Ni  0.357  0.357  0.000

---

3.
TlAgS: optimized geometry, PBE.

## Properties
The total energy is -3.293 eV/atom. The space group is Pnma.

a = 8.486 Å, b = 4.496 Å, c = 7.333 Å
α = 90.00°, β = 90.00°, γ = 90.00°
Atoms (fractional coordinates):
Tl  0.504  0.250  0.184
Tl  0.004  0.250  0.316
S  0.180  0.750  0.102
Ag  0.318  0.750  0.417
Ag  0.682  0.250  0.583
Tl  0.496  0.750  0.816
Ag  0.182  0.250  0.917
Ag  0.818  0.750  0.083
S  0.320  0.250  0.602
S  0.680  0.750  0.398
S  0.820  0.250  0.898
Tl  0.996  0.750  0.684

---

4.
Li3Pd2O6: optimized geometry, PBE.

## Properties
The total energy is -5.168 eV/atom. As for the energy above the most stable polymorph in this dataset: 0.003 eV per atom. The space group is C2.

a = 5.108 Å, b = 5.108 Å, c = 5.053 Å
α = 100.08°, β = 100.08°, γ = 119.20°
Atoms (fractional coordinates):
Li  0.342  0.658  0.500
O  0.222  0.232  0.235
Li  0.001  0.999  0.500
Pd  0.828  0.172  0.000
O  0.768  0.778  0.765
O  0.082  0.422  0.774
O  0.410  0.065  0.762
O  0.935  0.590  0.238
Li  0.506  0.494  0.000
O  0.578  0.918  0.226
Pd  0.166  0.834  0.000

---

5.
Tl2ZnGaF6: optimized geometry, PBE.

## Properties
The total energy is -3.980 eV/atom. The space group is Fm-3m.

a = 5.820 Å, b = 5.820 Å, c = 5.820 Å
α = 60.00°, β = 60.00°, γ = 60.00°
Atoms (fractional coordinates):
F  0.250  0.250  0.750
F  0.750  0.750  0.250
Tl  0.750  0.750  0.750
F  0.250  0.750  0.250
F  0.250  0.750  0.750
Zn  0.500  0.500  0.500
Ga  0.000  0.000  0.000
F  0.750  0.250  0.750
F  0.750  0.250  0.250
Tl  0.250  0.250  0.250

---

6.
TbGd2NiSn3Ir2: optimized geometry, PBE.

## Properties
The total energy is -6.257 eV/atom. Its magnetic moment is 0.001 μB per atom. The space group is Amm2.

a = 3.887 Å, b = 7.513 Å, c = 7.513 Å
α = 119.93°, β = 90.00°, γ = 90.00°
Atoms (fractional coordinates):
Gd  0.000  0.408  0.000
Ir  0.500  0.666  0.334
Sn  0.500  0.747  0.999
Gd  0.000  0.000  0.408
Ni  0.000  0.999  0.999
Sn  0.500  0.999  0.747
Sn  0.500  0.253  0.253
Tb  0.000  0.592  0.592
Ir  0.500  0.334  0.666

---

7.
Li2Zn2GaPdPt2: optimized geometry, PBE.

## Properties
The total energy is -3.901 eV/atom. Its magnetic moment is 0.000 μB per atom. The space group is P-4m2.

a = 4.238 Å, b = 4.238 Å, c = 6.403 Å
α = 90.00°, β = 90.00°, γ = 90.00°
Atoms (fractional coordinates):
Pd  0.500  0.500  0.500
Zn  0.000  0.000  0.500
Ga  0.000  0.000  0.000
Li  0.000  0.500  0.256
Li  0.500  0.000  0.744
Pt  0.000  0.500  0.769
Zn  0.500  0.500  0.000
Pt  0.500  0.000  0.231

---

8.
HoSi2IrPd: optimized geometry, PBE.

## Properties
The total energy is -6.848 eV/atom. Its magnetic moment is 0.000 μB per atom. The space group is I-4m2.

a = 5.787 Å, b = 5.787 Å, c = 5.787 Å
α = 138.77°, β = 138.77°, γ = 59.73°
Atoms (fractional coordinates):
Si  0.616  0.616  0.000
Ho  0.000  0.000  0.000
Pd  0.750  0.250  0.500
Si  0.384  0.384  0.000
Ir  0.250  0.750  0.500